Material: Ac5PrNd2Sm
Method: DFT, PBE
State: relaxed

Structure (POSCAR):
```
Ac5PrNd2Sm
1.0
-8.414 1.351 -0.157
-0.232 -0.460 8.507
5.949 9.751 -3.579
Ac Pr Nd Sm
10 2 4 2
Direct
0.919 0.419 0.270 Ac
0.649 0.149 0.730 Ac
0.081 0.581 0.730 Ac
0.149 0.081 0.730 Ac
0.581 0.649 0.730 Ac
0.851 0.919 0.270 Ac
0.419 0.351 0.270 Ac
0.351 0.851 0.270 Ac
0.500 0.500 0.000 Ac
0.000 0.000 0.000 Ac
0.250 0.750 0.500 Pr
0.750 0.250 0.500 Pr
0.122 0.378 0.000 Nd
0.622 0.122 0.000 Nd
0.378 0.878 0.000 Nd
0.878 0.622 0.000 Nd
0.250 0.250 0.500 Sm
0.750 0.750 0.500 Sm
```

- calculated total energy (eV per atom) = -4.13
- total magnetic moment (μB per cell) = 0.000
- energy of formation from the pure elements (kJ/mol of formula units) = 233
- symmetry = No. 140
- calculated density (g/cm³) = 7.58